No. 1
Compound: Pm3Tm4Pd4
Source: the Alexandria database
Functional: PBE
Structure: optimized geometry

## Properties
* final energy: -5.408 eV per atom
* symmetry: Immm (71)
* crystal system: orthorhombic
* E_form: -0.598 eV per atom

abc: 8.914 8.914 8.914
angles: 149.27 129.69 60.12
Fractional coordinates of all 11 atoms:
Pm1 0.000 0.000 0.000
Pm2 0.397 0.897 0.500
Pm3 0.603 0.103 0.500
Tm1 0.042 0.327 0.715
Tm2 0.388 0.673 0.715
Tm3 0.612 0.327 0.285
Tm4 0.958 0.673 0.285
Pd1 0.205 0.205 0.000
Pd2 0.313 0.500 0.813
Pd3 0.687 0.500 0.187
Pd4 0.795 0.795 0.000

***

No. 2
Compound: PmTmPd
Source: the Alexandria database
Functional: PBE
Structure: optimized geometry

## Properties
* final energy: -5.272 eV per atom
* symmetry: P2_1/c (14)
* energy above the most stable polymorph in this dataset: 72 meV/atom
* crystal system: monoclinic
* E_form: -0.467 eV per atom

abc: 7.092 5.945 10.537
angles: 90.00 129.09 90.00
Fractional coordinates of all 12 atoms:
Pm1 0.197 0.139 0.383
Pm2 0.197 0.361 0.883
Pm3 0.803 0.639 0.117
Pm4 0.803 0.861 0.617
Tm1 0.323 0.632 0.630
Tm2 0.323 0.868 0.130
Tm3 0.677 0.132 0.870
Tm4 0.677 0.368 0.370
Pd1 0.325 0.639 0.361
Pd2 0.325 0.861 0.861
Pd3 0.675 0.139 0.139
Pd4 0.675 0.361 0.639

***

No. 3
Compound: PmTmPd
Source: the Alexandria database
Functional: PBE
Structure: optimized geometry

## Properties
* final energy: -5.209 eV per atom
* symmetry: P-6m2 (187)
* energy above the most stable polymorph in this dataset: 135 meV/atom
* crystal system: hexagonal
* E_form: -0.404 eV per atom

abc: 4.078 4.078 11.989
angles: 90.00 90.00 120.00
Fractional coordinates of all 6 atoms:
Pm1 0.000 0.000 0.229
Pm2 0.000 0.000 0.771
Tm1 0.333 0.667 0.000
Tm2 0.667 0.333 0.500
Pd1 0.333 0.667 0.371
Pd2 0.333 0.667 0.629

***

Among the records above, which one has the highest E_form?
number 3